Entry a
Here is Li2MnFe after structural relaxation from Alexandria. Energies are from PBEsol.

abc: 2.434 3.515 5.662
angles: 90.00 90.00 90.00
Sites, in units of the cell vectors:
1 Li 0.000 0.000 0.000
2 Li 0.500 0.500 0.268
3 Mn 0.000 0.000 0.561
4 Fe 0.500 0.500 0.711

Output
Magnetization, μB per atom: 0.034
Crystal system: orthorhombic



Entry b
Here is Li2MnFe after structural relaxation from Alexandria. Energies are from PBEsol.

abc: 4.110 4.110 4.110
angles: 60.00 60.00 60.00
Sites, in units of the cell vectors:
1 Li 0.250 0.250 0.250
2 Li 0.750 0.750 0.750
3 Mn 0.000 0.000 0.000
4 Fe 0.500 0.500 0.500

Output
Magnetization, μB per atom: 1.473
Crystal system: cubic



Entry c
Here is Li2MnFe after structural relaxation from Alexandria. Energies are from PBEsol.

abc: 2.293 4.349 4.470
angles: 90.00 90.00 90.00
Sites, in units of the cell vectors:
1 Li 0.000 0.000 0.250
2 Li 0.000 0.000 0.750
3 Mn 0.500 0.500 0.000
4 Fe 0.500 0.500 0.500

Output
Magnetization, μB per atom: 0.370
Crystal system: orthorhombic



Out of the structures above, which one is the most stable? Solution: entry a.